First-principles (PBE with a Hubbard U) data for Sr2CrFeAsO3 after structural relaxation, as listed in Alexandria via LeMat-Bulk.

Values from the calculation:
The calculated density comes out at 5.1 g/cm3. The density of states at the Fermi level is 0.09 states/eV per atom. The calculation puts the total energy at -6.158 eV per atom.

Cell lengths 4.0022, 4.0022, 16.3547 Å; angles 90.00, 90.00, 90.00 degrees
Closest atoms and distances in Å follow each position.
Fractional coordinates of all 16 atoms:
Sr1 0.2500 0.2500 0.0830  1 O 2.44
Sr2 0.2500 0.2500 0.2967  4 O 2.55
Sr3 0.7500 0.7500 0.7033  4 O 2.55
Sr4 0.7500 0.7500 0.9170  1 O 2.44
Cr1 0.2500 0.2500 0.8169  5 O 1.91-2.02
Cr2 0.7500 0.7500 0.1831  5 O 1.91-2.02
Fe1 0.2500 0.7500 0.5000  4 As 2.60, 4 Fe 2.83
Fe2 0.7500 0.2500 0.5000  4 As 2.60, 4 Fe 2.83
As1 0.2500 0.2500 0.6011  4 Fe 2.60
As2 0.7500 0.7500 0.3989  4 Fe 2.60
O1 0.2500 0.2500 0.9335  1 Cr 1.91
O2 0.2500 0.7500 0.1996  2 Cr 2.02
O3 0.2500 0.7500 0.8004  2 Cr 2.02
O4 0.7500 0.2500 0.1996  2 Cr 2.02
O5 0.7500 0.2500 0.8004  2 Cr 2.02
O6 0.7500 0.7500 0.0665  1 Cr 1.91